Record 1
{"formula": "Tm2LuAs", "functional": "GGA-PBE", "state": "optimized geometry", "spacegroup": "No. 166", "cell": [[1.893, 1.093, 9.253], [-1.893, 1.093, 9.253], [0.000, -2.185, 9.253]], "species": ["Tm", "Tm", "Lu", "As"], "fractional_positions": [[0.229, 0.229, 0.229], [0.771, 0.771, 0.771], [0.000, 0.000, 0.000], [0.500, 0.500, 0.500]]}

---

Record 2
{"formula": "MgNpSnRu", "functional": "GGA-PBE", "state": "optimized geometry", "spacegroup": "No. 216", "cell": [[0.000, 3.405, 3.405], [3.405, 0.000, 3.405], [3.405, 3.405, 0.000]], "species": ["Mg", "Np", "Sn", "Ru"], "fractional_positions": [[0.000, 0.000, 0.000], [0.250, 0.250, 0.250], [0.750, 0.750, 0.750], [0.500, 0.500, 0.500]]}

---

Across the entries above, calculated density takes the values 8.50, 10.12 Mg/m³, respectively.
Across the entries above, energy relative to the elements takes the values -2.21, 0.27 eV per formula unit, respectively.